# 1
Computed, not measured: a relaxed structure of CeEuIn2 at the PBE level of DFT.

Results
The formation energy comes out at -382.6 meV per atom. The energy above the lowest structure with this stoichiometry is 0.0 meV per atom. The value obtained for the uncorrected energy is -5.8039 eV/atom.

```
CeEuIn2
1.0
-1.139 1.853 3.134
-2.957 -2.387 0.337
4.555 -4.992 4.607
In Eu Ce
2 1 1
direct
0.000 0.000 0.755
0.000 0.000 0.245
0.500 0.500 0.500
0.500 0.500 0.000
```


# 2
Computed, not measured: a relaxed structure of LiCeEuIn at the PBE level of DFT.

Results
The formation energy comes out at -19.6 meV per atom. The value obtained for the uncorrected energy is -5.2348 eV/atom.

```
LiCeEuIn
1.0
-4.612 1.801 2.105
-4.702 -1.890 -1.808
-2.978 -3.226 3.110
Ce Eu In Li
1 1 1 1
direct
0.500 0.500 0.500
0.750 0.750 0.750
0.250 0.250 0.250
0.000 0.000 0.000
```


# 3
Computed, not measured: a relaxed structure of CeEuLuIn at the PBE level of DFT.

Results
The formation energy comes out at -64.0 meV per atom. The value obtained for the uncorrected energy is -5.9309 eV/atom.

```
CeEuLuIn
1.0
-2.548 4.853 -0.034
-2.803 1.655 4.410
1.908 4.119 3.073
Eu Lu In Ce
1 1 1 1
direct
0.750 0.750 0.750
0.500 0.500 0.500
0.250 0.250 0.250
0.000 0.000 0.000
```